! CoAs3O | Alexandria via LeMat-Bulk | GGA+U | relaxed; values from VASP
! Energy above the lowest structure with this stoichiometry: 0.168 eV per atom
&SYSTEM
  ibrav = 0, nat = 5, ntyp = 3
/
ATOMIC_SPECIES
Co 58.93 Co.upf
As 74.92 As.upf
O 16.00 O.upf
CELL_PARAMETERS angstrom
4.4477 0.0000 0.0000
0.0000 4.4477 0.0000
0.0000 0.0000 4.4477
ATOMIC_POSITIONS crystal
Co 0.0000 0.0000 0.0000
As 0.0000 0.0000 0.5000
As 0.0000 0.5000 0.0000
As 0.5000 0.0000 0.0000
O 0.5000 0.5000 0.5000